--- a ---
Computed, not measured: a relaxed structure of HfV2C at the GGA-PBE level of DFT.

```
HfV2C
1.0
3.182 0.000 0.000
-1.591 4.580 0.000
0.000 0.000 7.000
Hf V C
2 4 2
Direct
0.953 0.907 0.250
0.047 0.093 0.750
0.340 0.680 0.560
0.660 0.320 0.440
0.340 0.680 0.940
0.660 0.320 0.060
0.762 0.523 0.750
0.238 0.477 0.250
```

Results
Crystal system: orthorhombic

***

--- b ---
Computed, not measured: a relaxed structure of HfV2C at the GGA-PBE level of DFT.

```
HfV2C
1.0
0.000 2.934 2.934
2.934 0.000 2.934
2.934 2.934 0.000
C Hf V
1 1 2
Direct
0.000 0.000 0.000
0.500 0.500 0.500
0.250 0.250 0.250
0.750 0.750 0.750
```

Results
Crystal system: cubic

***

Compare the structures above. Which one is the most stable? a is.